Entry from the Alexandria database: YCoAg2 after structural relaxation (PBEsol).

Structure (CIF):
```
data_YCoAg2
_cell_length_a 3.582
_cell_length_b 3.582
_cell_length_c 5.574
_cell_angle_alpha 90.00
_cell_angle_beta 90.00
_cell_angle_gamma 90.00
_symmetry_space_group_name_H-M 'P 4/m m m'
_symmetry_Int_Tables_number 123
_symmetry_space_group_name_Hall '-P 4 2'
loop_
_atom_site_label
_atom_site_type_symbol
_atom_site_fract_x
_atom_site_fract_y
_atom_site_fract_z
Y1 Y 0.000 0.000 0.000
Co1 Co 0.000 0.000 0.500
Ag1 Ag 0.500 0.500 0.270
```

Properties
Fermi-level density of states, states/eV/f.u.: 4.144
VASP energy, eV/f.u.: -20.60
E_form, eV per atom: 0.1448

Entry from the Alexandria database: LiCu4P3O12 after structural relaxation (PBEsol).

Structure (CIF):
```
data_LiCu4P3O12
_cell_length_a 11.875
_cell_length_b 12.007
_cell_length_c 7.184
_cell_angle_alpha 90.00
_cell_angle_beta 120.17
_cell_angle_gamma 90.00
_symmetry_space_group_name_H-M 'C 1 2/c 1'
_symmetry_Int_Tables_number 15
_symmetry_space_group_name_Hall '-C 2yc'
loop_
_atom_site_label
_atom_site_type_symbol
_atom_site_fract_x
_atom_site_fract_y
_atom_site_fract_z
Li1 Li 0.000 0.020 0.250
Cu1 Cu 0.000 0.268 0.250
Cu2 Cu 0.000 0.492 0.750
Cu3 Cu 0.222 0.163 0.147
P1 P 0.000 0.275 0.750
P2 P 0.227 0.112 0.609
O1 O 0.044 0.207 0.953
O2 O 0.101 0.367 0.764
O3 O 0.128 0.393 0.346
O4 O 0.140 0.160 0.378
O5 O 0.171 0.005 0.099
O6 O 0.226 0.183 0.785
```

Properties
VASP energy, eV/f.u.: -130.56
ΔE_f (raw), eV per formula unit: -30.89
Excess energy over the best structure of this formula in the dataset, meV per atom: 6.6

Entry from the Alexandria database: AgAu2 after structural relaxation (PBEsol).

Structure (CIF):
```
data_AgAu2
_cell_length_a 4.058
_cell_length_b 4.058
_cell_length_c 24.437
_cell_angle_alpha 90.00
_cell_angle_beta 90.00
_cell_angle_gamma 90.00
_symmetry_space_group_name_H-M 'I 41/a m d'
_symmetry_Int_Tables_number 141
loop_
_symmetry_equiv_pos_as_xyz
'x,y,z'
'-x,-y,-z'
'-y+1/4,x+3/4,z+1/4'
'y+1/4,-x+3/4,-z+1/4'
'-x+1/2,-y,z+1/2'
'x+1/2,y,-z+1/2'
'y+1/4,-x+1/4,z+3/4'
'-y+1/4,x+1/4,-z+3/4'
'x,-y,-z'
'-x,y,z'
'-y+1/4,-x+1/4,-z+3/4'
'y+1/4,x+1/4,z+3/4'
'-x+1/2,y,-z+1/2'
'x+1/2,-y,z+1/2'
'y+1/4,x+3/4,-z+1/4'
'-y+1/4,-x+3/4,z+1/4'
'x+1/2,y+1/2,z+1/2'
'-x+1/2,-y+1/2,-z+1/2'
'-y+3/4,x+1/4,z+3/4'
'y+3/4,-x+1/4,-z+3/4'
'-x,-y+1/2,z'
'x,y+1/2,-z'
'y+3/4,-x+3/4,z+1/4'
'-y+3/4,x+3/4,-z+1/4'
'x+1/2,-y+1/2,-z+1/2'
'-x+1/2,y+1/2,z+1/2'
'-y+3/4,-x+3/4,-z+1/4'
'y+3/4,x+3/4,z+1/4'
'-x,y+1/2,-z'
'x,-y+1/2,z'
'y+3/4,x+1/4,-z+3/4'
'-y+3/4,-x+1/4,z+3/4'
loop_
_atom_site_label
_atom_site_type_symbol
_atom_site_fract_x
_atom_site_fract_y
_atom_site_fract_z
Ag1 Ag 0.000 0.250 0.291
Au1 Au 0.000 0.250 0.125
Au2 Au 0.000 0.250 0.791
```

Properties
Fermi-level density of states, states/eV/f.u.: 0.761
VASP energy, eV/f.u.: -11.31
Excess energy over the best structure of this formula in the dataset, meV per atom: 0.0
E_form, eV per atom: -0.0501

Entry from the Alexandria database: InTcW2 after structural relaxation (PBEsol).

Structure (CIF):
```
data_InTcW2
_cell_length_a 2.790
_cell_length_b 4.302
_cell_length_c 5.558
_cell_angle_alpha 90.00
_cell_angle_beta 103.10
_cell_angle_gamma 90.00
_symmetry_space_group_name_H-M 'P 1 m 1'
_symmetry_Int_Tables_number 6
_symmetry_space_group_name_Hall 'P -2y'
loop_
_atom_site_label
_atom_site_type_symbol
_atom_site_fract_x
_atom_site_fract_y
_atom_site_fract_z
In1 In 0.000 0.000 0.000
Tc1 Tc 0.538 0.500 0.259
W1 W 0.413 0.500 0.734
W2 W 0.969 0.000 0.494
```

Properties
Fermi-level density of states, states/eV/f.u.: 3.508
VASP energy, eV/f.u.: -40.25
Excess energy over the best structure of this formula in the dataset, meV per atom: 50.8
E_form, eV per atom: 0.4027

Entry from the Alexandria database: BaP2Cl after structural relaxation (PBEsol).

Structure (CIF):
```
data_BaP2Cl
_cell_length_a 4.985
_cell_length_b 4.985
_cell_length_c 5.594
_cell_angle_alpha 90.00
_cell_angle_beta 90.00
_cell_angle_gamma 90.00
_symmetry_space_group_name_H-M 'P 4/m m m'
_symmetry_Int_Tables_number 123
_symmetry_space_group_name_Hall '-P 4 2'
loop_
_atom_site_label
_atom_site_type_symbol
_atom_site_fract_x
_atom_site_fract_y
_atom_site_fract_z
Ba1 Ba 0.000 0.000 0.000
P1 P 0.500 0.500 0.324
Cl1 Cl 0.000 0.000 0.500
```

Properties
Fermi-level density of states, states/eV/f.u.: 2.846
VASP energy, eV/f.u.: -17.51
ΔE_f (raw), eV per formula unit: -1.77
Excess energy over the best structure of this formula in the dataset, meV per atom: 462.9

Entry from the Alexandria database: LiNi6Rh after structural relaxation (PBEsol).

Structure (CIF):
```
data_LiNi6Rh
_cell_length_a 7.015
_cell_length_b 9.956
_cell_length_c 9.939
_cell_angle_alpha 90.00
_cell_angle_beta 90.00
_cell_angle_gamma 90.00
_symmetry_space_group_name_H-M 'C m m m'
_symmetry_Int_Tables_number 65
_symmetry_space_group_name_Hall '-C 2 2'
loop_
_atom_site_label
_atom_site_type_symbol
_atom_site_fract_x
_atom_site_fract_y
_atom_site_fract_z
Li1 Li 0.000 0.000 0.247
Li2 Li 0.000 0.254 0.000
Ni1 Ni 0.000 0.000 0.000
Ni2 Ni 0.000 0.000 0.500
Ni3 Ni 0.000 0.250 0.248
Ni4 Ni 0.000 0.500 0.000
Ni5 Ni 0.000 0.500 0.500
Ni6 Ni 0.246 0.125 0.123
Ni7 Ni 0.249 0.124 0.372
Rh1 Rh 0.000 0.248 0.500
Rh2 Rh 0.000 0.500 0.245
```

Properties
Fermi-level density of states, states/eV/f.u.: 9.933
VASP energy, eV/f.u.: -46.83
E_form, eV per atom: 0.0274

Entry from the Alexandria database: MoIrN2 after structural relaxation (PBEsol).

Structure (CIF):
```
data_MoIrN2
_cell_length_a 5.387
_cell_length_b 5.387
_cell_length_c 5.387
_cell_angle_alpha 90.00
_cell_angle_beta 90.00
_cell_angle_gamma 90.00
_symmetry_space_group_name_H-M 'F m -3 m'
_symmetry_Int_Tables_number 225
_symmetry_space_group_name_Hall '-F 4 2 3'
loop_
_atom_site_label
_atom_site_type_symbol
_atom_site_fract_x
_atom_site_fract_y
_atom_site_fract_z
Mo1 Mo 0.000 0.000 0.000
Ir1 Ir 0.000 0.000 0.500
N1 N 0.250 0.250 0.250
```

Properties
Fermi-level density of states, states/eV/f.u.: 3.105
VASP energy, eV/f.u.: -35.36
ΔE_f (raw), eV per formula unit: 3.29
Excess energy over the best structure of this formula in the dataset, meV per atom: 746.5

Entry from the Alexandria database: LaFe2Cl after structural relaxation (PBEsol).

Structure (CIF):
```
data_LaFe2Cl
_cell_length_a 3.213
_cell_length_b 3.213
_cell_length_c 7.408
_cell_angle_alpha 90.00
_cell_angle_beta 90.00
_cell_angle_gamma 90.00
_symmetry_space_group_name_H-M 'P 4 m m'
_symmetry_Int_Tables_number 99
_symmetry_space_group_name_Hall 'P 4 -2'
loop_
_atom_site_label
_atom_site_type_symbol
_atom_site_fract_x
_atom_site_fract_y
_atom_site_fract_z
La1 La 0.000 0.000 0.000
Fe1 Fe 0.000 0.000 0.597
Fe2 Fe 0.500 0.500 0.717
Cl1 Cl 0.500 0.500 0.258
```

Properties
Fermi-level density of states, states/eV/f.u.: 2.983
VASP energy, eV/f.u.: -25.72
ΔE_f (raw), eV per formula unit: -0.44

Entry from the Alexandria database: ZnTc2HgGe after structural relaxation (PBEsol).

Structure (CIF):
```
data_ZnTc2HgGe
_cell_length_a 4.592
_cell_length_b 4.592
_cell_length_c 4.432
_cell_angle_alpha 90.00
_cell_angle_beta 90.00
_cell_angle_gamma 90.00
_symmetry_space_group_name_H-M 'P 4/m m m'
_symmetry_Int_Tables_number 123
_symmetry_space_group_name_Hall '-P 4 2'
loop_
_atom_site_label
_atom_site_type_symbol
_atom_site_fract_x
_atom_site_fract_y
_atom_site_fract_z
Zn1 Zn 0.000 0.000 0.000
Tc1 Tc 0.000 0.500 0.500
Hg1 Hg 0.500 0.500 0.000
Ge1 Ge 0.000 0.000 0.500
```

Properties
Fermi-level density of states, states/eV/f.u.: 4.086
VASP energy, eV/f.u.: -24.10
E_form, eV per atom: 1.1041

Entry from the Alexandria database: Sc2NiP after structural relaxation (PBEsol).

Structure (CIF):
```
data_Sc2NiP
_cell_length_a 3.270
_cell_length_b 3.270
_cell_length_c 5.943
_cell_angle_alpha 90.00
_cell_angle_beta 90.00
_cell_angle_gamma 90.00
_symmetry_space_group_name_H-M 'P 4/m m m'
_symmetry_Int_Tables_number 123
_symmetry_space_group_name_Hall '-P 4 2'
loop_
_atom_site_label
_atom_site_type_symbol
_atom_site_fract_x
_atom_site_fract_y
_atom_site_fract_z
Sc1 Sc 0.000 0.000 0.247
Ni1 Ni 0.500 0.500 0.500
P1 P 0.500 0.500 0.000
```

Properties
Fermi-level density of states, states/eV/f.u.: 2.423
VASP energy, eV/f.u.: -28.35
E_form, eV per atom: -0.7989

Entry from the Alexandria database: AlCdTe2 after structural relaxation (PBEsol).

Structure (CIF):
```
data_AlCdTe2
_cell_length_a 7.331
_cell_length_b 7.331
_cell_length_c 7.331
_cell_angle_alpha 90.00
_cell_angle_beta 90.00
_cell_angle_gamma 90.00
_symmetry_space_group_name_H-M 'F -4 3 m'
_symmetry_Int_Tables_number 216
_symmetry_space_group_name_Hall 'F -4 2 3'
loop_
_atom_site_label
_atom_site_type_symbol
_atom_site_fract_x
_atom_site_fract_y
_atom_site_fract_z
Al1 Al 0.000 0.000 0.000
Cd1 Cd 0.250 0.250 0.750
Te1 Te 0.000 0.000 0.500
Te2 Te 0.250 0.250 0.250
```

Properties
Fermi-level density of states, states/eV/f.u.: 1.763
VASP energy, eV/f.u.: -11.39
ΔE_f (raw), eV per formula unit: 0.96
Excess energy over the best structure of this formula in the dataset, meV per atom: 312.4

Entry from the Alexandria database: LaYSc2 after structural relaxation (PBEsol).

Structure (CIF):
```
data_LaYSc2
_cell_length_a 3.449
_cell_length_b 4.714
_cell_length_c 6.789
_cell_angle_alpha 90.00
_cell_angle_beta 90.00
_cell_angle_gamma 90.00
_symmetry_space_group_name_H-M 'P m m 2'
_symmetry_Int_Tables_number 25
_symmetry_space_group_name_Hall 'P 2 -2'
loop_
_atom_site_label
_atom_site_type_symbol
_atom_site_fract_x
_atom_site_fract_y
_atom_site_fract_z
La1 La 0.000 0.000 0.000
Y1 Y 0.500 0.500 0.730
Sc1 Sc 0.000 0.000 0.483
Sc2 Sc 0.500 0.500 0.255
```

Properties
Fermi-level density of states, states/eV/f.u.: 6.021
VASP energy, eV/f.u.: -25.10
Excess energy over the best structure of this formula in the dataset, meV per atom: 24.1
E_form, eV per atom: 0.0694